(1)
The following is a DFT calculation (PBE-GGA) of a relaxed Ac2AlRhO6 crystal.

Summary:
As for the total energy: -7.546 eV/atom. Its space-group type is Fm-3m (225). For the energy relative to the elements, uncorrected, the calculation gives -2.640 eV/atom. Its crystal system is cubic. The density comes out at 9.105 g/cm3.

Cell lengths 5.596, 5.597, 7.916 Å; angles 90.00, 90.00, 90.00 degrees
Fractional coordinates of all 20 atoms:
Rh: 0.000 0.750 0.500
Rh: 0.500 0.250 0.000
O: 0.241 0.991 0.000
O: 0.741 0.009 0.500
O: 0.000 0.750 0.759
O: 0.741 0.491 0.500
O: 0.759 0.509 0.000
O: 0.759 0.991 0.000
O: 0.000 0.750 0.241
O: 0.500 0.250 0.741
O: 0.241 0.509 0.000
O: 0.500 0.250 0.259
O: 0.259 0.491 0.500
O: 0.259 0.009 0.500
Al: 0.000 0.750 0.000
Al: 0.500 0.250 0.500
Ac: 0.000 0.250 0.750
Ac: 0.500 0.750 0.750
Ac: 0.500 0.750 0.250
Ac: 0.000 0.250 0.250

(2)
The following is a DFT calculation (PBE-GGA) of a relaxed AcAlRhO6 crystal.

Summary:
As for the total energy: -6.984 eV/atom. Its space-group type is P312 (149). The density of states at the Fermi level comes out at 0.39 states/eV/atom. For the energy relative to the elements, uncorrected, the calculation gives -1.990 eV/atom. Its crystal system is trigonal. The density comes out at 6.125 g/cm3.

Cell lengths 5.133, 5.133, 5.382 Å; angles 90.00, 90.00, 60.00 degrees
Last column: magnetic moment on the atom in μB.
Fractional coordinates of all 9 atoms:
O: 0.994 0.625 0.701  0.20
O: 0.625 0.994 0.299  0.20
O: 0.382 0.994 0.701  0.20
O: 0.625 0.382 0.701  0.20
O: 0.382 0.625 0.299  0.20
O: 0.994 0.382 0.299  0.20
Rh: 0.333 0.333 0.500  1.26
Ac: 0.000 0.000 0.000  0.04
Al: 0.667 0.667 0.500  0.00

(3)
The following is a DFT calculation (PBE-GGA) of a relaxed AcAlRuO6 crystal.

Summary:
As for the total energy: -7.373 eV/atom. Its space-group type is P-31c (163). The density of states at the Fermi level comes out at 0.52 states/eV/atom. For the energy relative to the elements, uncorrected, the calculation gives -2.165 eV/atom. Its crystal system is trigonal. The density comes out at 6.144 g/cm3.

Cell lengths 5.122, 5.122, 10.733 Å; angles 90.00, 90.00, 120.00 degrees
Last column: magnetic moment on the atom in μB.
Fractional coordinates of all 18 atoms:
O: 0.385 0.381 0.351  0.07
O: 0.996 0.381 0.149  0.07
O: 0.381 0.385 0.851  0.07
O: 0.004 0.619 0.851  0.07
O: 0.619 0.615 0.149  0.07
O: 0.619 0.004 0.351  0.07
O: 0.615 0.619 0.649  0.07
O: 0.004 0.385 0.649  0.07
O: 0.615 0.996 0.851  0.07
O: 0.996 0.615 0.351  0.07
O: 0.385 0.004 0.149  0.07
O: 0.381 0.996 0.649  0.07
Ru: 0.667 0.333 0.750  1.32
Ru: 0.333 0.667 0.250  1.32
Ac: 0.000 0.000 0.000  0.03
Ac: 0.000 0.000 0.500  0.03
Al: 0.667 0.333 0.250  0.01
Al: 0.333 0.667 0.750  0.01

(4)
The following is a DFT calculation (PBE-GGA) of a relaxed Ac2AlRuO6 crystal.

Summary:
As for the total energy: -7.681 eV/atom. Its space-group type is R-3m (166). The density of states at the Fermi level comes out at 0.47 states/eV/atom. For the energy relative to the elements, uncorrected, the calculation gives -2.583 eV/atom. Its crystal system is trigonal. The density comes out at 8.867 g/cm3.

Cell lengths 5.599, 5.599, 9.898 Å; angles 73.57, 73.57, 60.00 degrees
Last column: magnetic moment on the atom in μB.
Fractional coordinates of all 20 atoms:
Ru: 0.588 0.588 0.235  0.72
Ru: 0.412 0.412 0.765  0.72
O: 0.623 0.133 0.620  0.02
O: 0.377 0.867 0.380  0.02
O: 0.278 0.802 0.117  0.07
O: 0.867 0.377 0.380  0.02
O: 0.377 0.377 0.380  0.02
O: 0.198 0.198 0.883  0.07
O: 0.802 0.802 0.117  0.07
O: 0.198 0.722 0.883  0.07
O: 0.722 0.198 0.883  0.07
O: 0.802 0.278 0.117  0.07
O: 0.133 0.623 0.620  0.02
O: 0.623 0.623 0.620  0.02
Ac: 0.288 0.288 0.135  -0.01
Ac: 0.127 0.127 0.619  0.00
Ac: 0.712 0.712 0.865  -0.01
Ac: 0.873 0.873 0.381  0.00
Al: 0.500 0.500 0.500  0.00
Al: 0.000 0.000 0.000  0.00

(5)
The following is a DFT calculation (PBE-GGA) of a relaxed AcAl2RuO8 crystal.

Summary:
As for the total energy: -7.067 eV/atom. Its space-group type is P-1 (2). The density of states at the Fermi level comes out at 0.40 states/eV/atom. For the energy relative to the elements, uncorrected, the calculation gives -2.022 eV/atom. Its crystal system is triclinic. The density comes out at 5.599 g/cm3.

Cell lengths 4.585, 4.590, 7.210 Å; angles 93.01, 92.75, 87.65 degrees
Last column: magnetic moment on the atom in μB.
Fractional coordinates of all 12 atoms:
O: 0.646 0.653 0.422  0.29
O: 0.792 0.205 0.809  0.10
O: 0.696 0.698 0.989  -0.02
O: 0.354 0.347 0.578  0.29
O: 0.208 0.795 0.191  0.10
O: 0.304 0.302 0.011  -0.02
O: 0.797 0.211 0.192  0.10
O: 0.203 0.789 0.808  0.10
Al: 0.467 0.466 0.811  0.00
Al: 0.533 0.534 0.189  0.00
Ac: 0.000 0.000 0.500  0.05
Ru: 0.000 0.000 0.000  1.07

(6)
The following is a DFT calculation (PBE-GGA) of a relaxed AcAlSO2 crystal.

Summary:
As for the total energy: -7.021 eV/atom. Its space-group type is Cmcm (63). The density of states at the Fermi level comes out at 0.00 states/eV/atom. For the energy relative to the elements, uncorrected, the calculation gives -2.642 eV/atom. Its crystal system is orthorhombic. The density comes out at 6.499 g/cm3.

Cell lengths 3.851, 6.056, 7.350 Å; angles 90.00, 90.00, 108.54 degrees
Fractional coordinates of all 10 atoms:
S: 0.542 0.083 0.250
S: 0.458 0.917 0.750
O: 0.150 0.300 0.953
O: 0.150 0.300 0.547
O: 0.850 0.700 0.453
O: 0.850 0.700 0.047
Al: 0.000 0.000 0.500
Al: 0.000 0.000 0.000
Ac: 0.726 0.452 0.750
Ac: 0.274 0.548 0.250

(7)
The following is a DFT calculation (PBE-GGA) of a relaxed AcAlSb2O8 crystal.

Summary:
As for the total energy: -6.645 eV/atom. Its space-group type is Cmmm (65). For the energy relative to the elements, uncorrected, the calculation gives -1.998 eV/atom. Its crystal system is orthorhombic. The density comes out at 6.485 g/cm3.

Cell lengths 4.943, 4.942, 6.598 Å; angles 90.00, 90.00, 83.57 degrees
Fractional coordinates of all 12 atoms:
Al: 0.000 0.000 0.000
Ac: 0.000 0.000 0.500
O: 0.337 0.336 0.500
O: 0.201 0.798 0.203
O: 0.663 0.664 0.500
O: 0.201 0.798 0.797
O: 0.691 0.692 0.000
O: 0.799 0.202 0.797
O: 0.309 0.308 0.000
O: 0.799 0.202 0.203
Sb: 0.500 0.500 0.769
Sb: 0.500 0.500 0.231

(8)
The following is a DFT calculation (PBE-GGA) of a relaxed Ac2AlSbO6 crystal.

Summary:
As for the total energy: -7.242 eV/atom. Its space-group type is P4mm (99). The density of states at the Fermi level comes out at 0.00 states/eV/atom. For the energy relative to the elements, uncorrected, the calculation gives -2.659 eV/atom. Its crystal system is tetragonal. The density comes out at 7.473 g/cm3.

Cell lengths 5.039, 5.551, 5.551 Å; angles 90.00, 90.00, 90.00 degrees
Fractional coordinates of all 10 atoms:
O: 0.240 0.000 0.000
O: 0.720 0.771 0.229
O: 0.720 0.771 0.771
O: 0.034 0.500 0.500
O: 0.720 0.229 0.229
O: 0.720 0.229 0.771
Ac: 0.037 0.000 0.500
Ac: 0.037 0.500 0.000
Al: 0.598 0.000 0.000
Sb: 0.622 0.500 0.500

(9)
The following is a DFT calculation (PBE-GGA) of a relaxed Ac3ScAl2O9 crystal.

Summary:
As for the total energy: -8.054 eV/atom. Its space-group type is P-3m1 (164). The density of states at the Fermi level comes out at 0.00 states/eV/atom. For the energy relative to the elements, uncorrected, the calculation gives -3.336 eV/atom. Its crystal system is trigonal. The density comes out at 8.229 g/cm3.

Cell lengths 5.596, 5.596, 6.875 Å; angles 90.00, 90.00, 120.00 degrees
Fractional coordinates of all 15 atoms:
O: 0.654 0.827 0.323
O: 0.346 0.173 0.677
O: 0.827 0.654 0.677
O: 0.000 0.500 0.000
O: 0.500 0.500 0.000
O: 0.500 0.000 0.000
O: 0.173 0.346 0.323
O: 0.173 0.827 0.323
O: 0.827 0.173 0.677
Ac: 0.333 0.667 0.674
Ac: 0.000 0.000 0.000
Ac: 0.667 0.333 0.326
Sc: 0.000 0.000 0.500
Al: 0.667 0.333 0.837
Al: 0.333 0.667 0.163

(10)
The following is a DFT calculation (PBE-GGA) of a relaxed AcAlSe2O8 crystal.

Summary:
As for the total energy: -6.163 eV/atom. Its space-group type is P-3 (147). The density of states at the Fermi level comes out at 0.20 states/eV/atom. For the energy relative to the elements, uncorrected, the calculation gives -1.623 eV/atom. Its crystal system is trigonal. The density comes out at 5.393 g/cm3.

Cell lengths 5.243, 5.243, 6.982 Å; angles 90.00, 90.00, 120.00 degrees
Last column: magnetic moment on the atom in μB.
Fractional coordinates of all 12 atoms:
O: 0.667 0.333 0.060  0.00
O: 0.711 0.733 0.676  0.22
O: 0.289 0.267 0.324  0.22
O: 0.733 0.022 0.324  0.22
O: 0.978 0.711 0.324  0.22
O: 0.267 0.978 0.676  0.22
O: 0.022 0.289 0.676  0.22
O: 0.333 0.667 0.940  0.00
Al: 0.000 0.000 0.500  -0.01
Se: 0.667 0.333 0.304  0.16
Se: 0.333 0.667 0.696  0.16
Ac: 0.000 0.000 0.000  0.02

(11)
The following is a DFT calculation (PBE-GGA) of a relaxed AcAl2SeO8 crystal.

Summary:
As for the total energy: -6.518 eV/atom. Its space-group type is P-1 (2). For the energy relative to the elements, uncorrected, the calculation gives -1.956 eV/atom. Its crystal system is triclinic. The density comes out at 5.628 g/cm3.

Cell lengths 4.356, 4.507, 7.390 Å; angles 83.04, 89.96, 88.56 degrees
Last column: magnetic moment on the atom in μB.
Fractional coordinates of all 12 atoms:
O: 0.807 0.169 0.179  0.02
O: 0.470 0.316 0.417  0.38
O: 0.810 0.229 0.803  0.01
O: 0.193 0.831 0.821  0.02
O: 0.297 0.293 0.996  0.01
O: 0.530 0.684 0.583  0.38
O: 0.190 0.771 0.197  0.01
O: 0.703 0.707 0.004  0.01
Al: 0.515 0.534 0.820  0.00
Al: 0.485 0.466 0.180  0.00
Se: 0.000 0.000 0.000  0.00
Ac: 0.000 0.000 0.500  0.00

(12)
The following is a DFT calculation (PBE-GGA) of a relaxed AcAlSeO2 crystal.

Summary:
As for the total energy: -6.893 eV/atom. Its space-group type is P2_1/m (11). The density of states at the Fermi level comes out at 0.00 states/eV/atom. For the energy relative to the elements, uncorrected, the calculation gives -2.643 eV/atom. Its crystal system is monoclinic. The density comes out at 6.032 g/cm3.

Cell lengths 4.189, 6.866, 7.085 Å; angles 99.61, 90.00, 90.00 degrees
Fractional coordinates of all 10 atoms:
Ac: 0.250 0.762 0.354
Ac: 0.750 0.238 0.646
Se: 0.250 0.585 0.754
Se: 0.750 0.415 0.246
O: 0.250 0.050 0.652
O: 0.750 0.950 0.348
O: 0.250 0.009 0.113
O: 0.750 0.991 0.887
Al: 0.750 0.068 0.140
Al: 0.250 0.932 0.860